Record 1
This record from the Open Quantum Materials Database describes PrZnNO after structural relaxation. The functional is PBE.

a b c (Å): 3.7650 6.0769 5.4675
angles (deg): 90.00 90.00 90.00
With the nearest neighbours (Å) after each atom.
Space group Pmc2_1 (No. 26)
Inequivalent atoms, fractional coordinates:
Pr1 0.0000 0.2110 0.0000 (multiplicity 2)  2 O 2.27, 2 N 2.36-2.46
Zn1 0.5000 0.2970 0.5023 (multiplicity 2)  2 N 2.05, 2 O 2.07-2.08
N1 0.0000 0.1743 0.4480 (multiplicity 2)  2 Zn 2.05
O1 0.5000 0.3847 0.8692 (multiplicity 2)  2 Zn 2.07-2.08, 2 Pr 2.27

Output
- Distance to the lowest polymorph of the same formula: 90 meV per atom
- DFT total energy: -6.249 eV/atom

Record 2
This record from the Open Quantum Materials Database describes PrZnNO after structural relaxation. The functional is PBE.

a b c (Å): 4.9737 4.9737 4.7102
angles (deg): 90.00 90.00 90.00
With the nearest neighbours (Å) after each atom.
Space group P4/nmm (No. 129, origin choice 2)
Inequivalent atoms, fractional coordinates:
Pr1 0.2500 0.7500 0.0000 (multiplicity 2)  2 O 2.36, 4 N 2.49
Zn1 0.2500 0.2500 0.4730 (multiplicity 2)  1 N 2.05
N1 0.2500 0.2500 0.0386 (multiplicity 2)  1 Zn 2.05
O1 0.2500 0.7500 0.5000 (multiplicity 2)  2 Pr 2.36, 4 Zn 2.49

Output
- Distance to the lowest polymorph of the same formula: 322 meV per atom
- DFT total energy: -6.017 eV/atom